CdIn5HgPb2: relaxed, PBE.

## Properties
Density, g cm⁻³: 8.65
Magnetic moment, μB/cell: 0.000
Formation energy from the elements, meV/atom: 35

Lattice parameters (Å, degrees): 8.428 8.428 11.491 90.00 90.00 142.24
Element x y z (fractional)
Cd 0.241 0.759 0.500
Cd 0.759 0.241 0.000
In 0.078 0.922 0.335
In 0.089 0.911 0.671
In 0.238 0.762 0.166
In 0.241 0.759 0.850
In 0.402 0.598 0.670
In 0.598 0.402 0.170
In 0.759 0.241 0.350
In 0.762 0.238 0.666
In 0.911 0.089 0.171
In 0.922 0.078 0.835
Hg 0.073 0.927 0.012
Hg 0.927 0.073 0.512
Pb 0.409 0.591 0.335
Pb 0.415 0.585 0.009
Pb 0.585 0.415 0.509
Pb 0.591 0.409 0.835